# RbPBrO2 PBE relaxed
# total magnetization: 0.300 μB per atom
# formation energy (no corrections): 516 meV/atom
data_RbPBrO2
_space_group_name_H-M_alt 'P 4/m m m'
_space_group_IT_number 123
_space_group_name_Hall '-P 4 2'
_cell_length_a 4.4590
_cell_length_b 4.4590
_cell_length_c 4.7969
_cell_angle_alpha 90.00
_cell_angle_beta 90.00
_cell_angle_gamma 90.00
loop_
_atom_site_label
_atom_site_fract_x
_atom_site_fract_y
_atom_site_fract_z
Rb1 0.0000 0.0000 0.0000
P1 0.5000 0.5000 0.0000
Br1 0.5000 0.5000 0.5000
O1 0.0000 0.5000 0.5000



# RePBrO2 PBE relaxed
# total magnetization: 0.586 μB per atom
# formation energy (no corrections): 1204 meV/atom
data_RePBrO2
_space_group_name_H-M_alt 'P 4/m m m'
_space_group_IT_number 123
_space_group_name_Hall '-P 4 2'
_cell_length_a 3.6762
_cell_length_b 3.6762
_cell_length_c 6.3090
_cell_angle_alpha 90.00
_cell_angle_beta 90.00
_cell_angle_gamma 90.00
loop_
_atom_site_label
_atom_site_fract_x
_atom_site_fract_y
_atom_site_fract_z
Re1 0.0000 0.0000 0.0000
P1 0.5000 0.5000 0.0000
Br1 0.5000 0.5000 0.5000
O1 0.0000 0.5000 0.5000



# RePBrO2 PBE relaxed
# total magnetization: 0.000 μB per atom
# formation energy (no corrections): -660 meV/atom
data_RePBrO2
_space_group_name_H-M_alt 'P 4/m m m'
_space_group_IT_number 123
_space_group_name_Hall '-P 4 2'
_cell_length_a 3.8101
_cell_length_b 3.8101
_cell_length_c 5.1520
_cell_angle_alpha 90.00
_cell_angle_beta 90.00
_cell_angle_gamma 90.00
loop_
_atom_site_label
_atom_site_fract_x
_atom_site_fract_y
_atom_site_fract_z
Re1 0.0000 0.0000 0.0000
P1 0.0000 0.0000 0.5000
Br1 0.5000 0.5000 0.5000
O1 0.0000 0.5000 0.0000



# PRhBrO2 PBE relaxed
# total magnetization: 0.132 μB per atom
# formation energy (no corrections): 840 meV/atom
data_PRhBrO2
_space_group_name_H-M_alt 'P 4/m m m'
_space_group_IT_number 123
_space_group_name_Hall '-P 4 2'
_cell_length_a 3.6734
_cell_length_b 3.6734
_cell_length_c 5.6078
_cell_angle_alpha 90.00
_cell_angle_beta 90.00
_cell_angle_gamma 90.00
loop_
_atom_site_label
_atom_site_fract_x
_atom_site_fract_y
_atom_site_fract_z
P1 0.0000 0.0000 0.0000
Rh1 0.5000 0.5000 0.0000
Br1 0.0000 0.0000 0.5000
O1 0.0000 0.5000 0.5000



# P2RhBrO PBE relaxed
# total magnetization: 0.000 μB per atom
# formation energy (no corrections): 381 meV/atom
data_P2RhBrO
_space_group_name_H-M_alt 'P 4/m m m'
_space_group_IT_number 123
_space_group_name_Hall '-P 4 2'
_cell_length_a 4.8590
_cell_length_b 4.8590
_cell_length_c 3.7597
_cell_angle_alpha 90.00
_cell_angle_beta 90.00
_cell_angle_gamma 90.00
loop_
_atom_site_label
_atom_site_fract_x
_atom_site_fract_y
_atom_site_fract_z
P1 0.0000 0.5000 0.0000
Rh1 0.0000 0.0000 0.0000
Br1 0.5000 0.5000 0.5000
O1 0.0000 0.0000 0.5000



# P2RhBrO PBE relaxed
# total magnetization: 0.000 μB per atom
# formation energy (no corrections): 1237 meV/atom
data_P2RhBrO
_space_group_name_H-M_alt 'P 4/m m m'
_space_group_IT_number 123
_space_group_name_Hall '-P 4 2'
_cell_length_a 4.8470
_cell_length_b 4.8470
_cell_length_c 3.5490
_cell_angle_alpha 90.00
_cell_angle_beta 90.00
_cell_angle_gamma 90.00
loop_
_atom_site_label
_atom_site_fract_x
_atom_site_fract_y
_atom_site_fract_z
P1 0.0000 0.5000 0.0000
Rh1 0.0000 0.0000 0.5000
Br1 0.5000 0.5000 0.0000
O1 0.5000 0.5000 0.5000



# PRhBrO2 PBE relaxed
# total magnetization: 0.000 μB per atom
# formation energy (no corrections): -2 meV/atom
data_PRhBrO2
_space_group_name_H-M_alt 'P 4/m m m'
_space_group_IT_number 123
_space_group_name_Hall '-P 4 2'
_cell_length_a 3.7981
_cell_length_b 3.7981
_cell_length_c 5.3283
_cell_angle_alpha 90.00
_cell_angle_beta 90.00
_cell_angle_gamma 90.00
loop_
_atom_site_label
_atom_site_fract_x
_atom_site_fract_y
_atom_site_fract_z
P1 0.0000 0.0000 0.0000
Rh1 0.0000 0.0000 0.5000
Br1 0.5000 0.5000 0.0000
O1 0.0000 0.5000 0.5000



# PRuBrO2 PBE relaxed
# total magnetization: 0.072 μB per atom
# formation energy (no corrections): -267 meV/atom
data_PRuBrO2
_space_group_name_H-M_alt 'P 4/m m m'
_space_group_IT_number 123
_space_group_name_Hall '-P 4 2'
_cell_length_a 3.7758
_cell_length_b 3.7758
_cell_length_c 5.3098
_cell_angle_alpha 90.00
_cell_angle_beta 90.00
_cell_angle_gamma 90.00
loop_
_atom_site_label
_atom_site_fract_x
_atom_site_fract_y
_atom_site_fract_z
P1 0.0000 0.0000 0.0000
Ru1 0.0000 0.0000 0.5000
Br1 0.5000 0.5000 0.0000
O1 0.0000 0.5000 0.5000



# PRuBrO2 PBE relaxed
# total magnetization: 0.372 μB per atom
# formation energy (no corrections): 1002 meV/atom
data_PRuBrO2
_space_group_name_H-M_alt 'P 4/m m m'
_space_group_IT_number 123
_space_group_name_Hall '-P 4 2'
_cell_length_a 3.6693
_cell_length_b 3.6693
_cell_length_c 5.8364
_cell_angle_alpha 90.00
_cell_angle_beta 90.00
_cell_angle_gamma 90.00
loop_
_atom_site_label
_atom_site_fract_x
_atom_site_fract_y
_atom_site_fract_z
P1 0.0000 0.0000 0.0000
Ru1 0.5000 0.5000 0.0000
Br1 0.0000 0.0000 0.5000
O1 0.0000 0.5000 0.5000



# PSBrO2 PBE relaxed
# total magnetization: 0.000 μB per atom
# formation energy (no corrections): 793 meV/atom
data_PSBrO2
_space_group_name_H-M_alt 'P 4/m m m'
_space_group_IT_number 123
_space_group_name_Hall '-P 4 2'
_cell_length_a 3.6959
_cell_length_b 3.6959
_cell_length_c 5.9690
_cell_angle_alpha 90.00
_cell_angle_beta 90.00
_cell_angle_gamma 90.00
loop_
_atom_site_label
_atom_site_fract_x
_atom_site_fract_y
_atom_site_fract_z
P1 0.0000 0.0000 0.0000
S1 0.5000 0.5000 0.0000
Br1 0.0000 0.0000 0.5000
O1 0.0000 0.5000 0.5000



# PSBrO2 PBE relaxed
# total magnetization: 0.000 μB per atom
# formation energy (no corrections): 302 meV/atom
data_PSBrO2
_space_group_name_H-M_alt 'P 4/m m m'
_space_group_IT_number 123
_space_group_name_Hall '-P 4 2'
_cell_length_a 3.6281
_cell_length_b 3.6281
_cell_length_c 5.1381
_cell_angle_alpha 90.00
_cell_angle_beta 90.00
_cell_angle_gamma 90.00
loop_
_atom_site_label
_atom_site_fract_x
_atom_site_fract_y
_atom_site_fract_z
P1 0.0000 0.0000 0.0000
S1 0.0000 0.0000 0.5000
Br1 0.5000 0.5000 0.0000
O1 0.0000 0.5000 0.5000



# SbP2BrO PBE relaxed
# total magnetization: 0.113 μB per atom
# formation energy (no corrections): 550 meV/atom
data_SbP2BrO
_space_group_name_H-M_alt 'P 4/m m m'
_space_group_IT_number 123
_space_group_name_Hall '-P 4 2'
_cell_length_a 5.2204
_cell_length_b 5.2204
_cell_length_c 3.9679
_cell_angle_alpha 90.00
_cell_angle_beta 90.00
_cell_angle_gamma 90.00
loop_
_atom_site_label
_atom_site_fract_x
_atom_site_fract_y
_atom_site_fract_z
Sb1 0.0000 0.0000 0.0000
P1 0.0000 0.5000 0.0000
Br1 0.5000 0.5000 0.5000
O1 0.0000 0.0000 0.5000